Density functional theory data (PBE+U) for crystalline Mg2FeF at its relaxed geometry.

Summary:
* excess energy over the best structure of this formula in the dataset: 570 meV/atom
* SG: Fm-3m, No. 225

Unit cell a=6.5187 b=6.5187 c=6.5187 alpha=90.00 beta=90.00 gamma=90.00
Sites, in units of the cell vectors:
Mg (0.2500, 0.2500, 0.2500)
Mg (0.2500, 0.2500, 0.7500)
Mg (0.2500, 0.7500, 0.2500)
Mg (0.2500, 0.7500, 0.7500)
Mg (0.7500, 0.2500, 0.2500)
Mg (0.7500, 0.2500, 0.7500)
Mg (0.7500, 0.7500, 0.2500)
Mg (0.7500, 0.7500, 0.7500)
Fe (0.0000, 0.0000, 0.0000)
Fe (0.0000, 0.5000, 0.5000)
Fe (0.5000, 0.0000, 0.5000)
Fe (0.5000, 0.5000, 0.0000)
F (0.0000, 0.0000, 0.5000)
F (0.0000, 0.5000, 0.0000)
F (0.5000, 0.0000, 0.0000)
F (0.5000, 0.5000, 0.5000)